Record 1
VASP calculation (PBE) on crystalline Pa4Co2Te5 at its relaxed geometry.

abc: 3.796 7.506 11.337
angles: 106.83 90.00 90.00
Fractional coordinates of all 11 atoms:
1 Te 0.000 0.955 0.804
2 Te 0.000 0.045 0.196
3 Te 0.000 0.458 0.643
4 Te 0.000 0.542 0.357
5 Te 0.000 0.500 0.000
6 Pa 0.500 0.804 0.564
7 Pa 0.500 0.726 0.209
8 Pa 0.500 0.196 0.436
9 Pa 0.500 0.274 0.791
10 Co 0.000 0.085 0.613
11 Co 0.000 0.915 0.387

mass density: 9.02 g cm⁻³
energy relative to the elements, uncorrected: -0.66 eV per atom
crystal system: monoclinic
electronic total energy: -75.140 eV for the cell shown

Record 2
VASP calculation (PBE) on crystalline PaCoTe at its relaxed geometry.

abc: 4.093 6.186 6.186
angles: 69.32 70.68 70.68
Fractional coordinates of all 6 atoms:
1 Te 0.000 0.091 0.909
2 Te 0.500 0.561 0.439
3 Pa 0.256 0.162 0.326
4 Pa 0.744 0.674 0.838
5 Co 0.867 0.871 0.394
6 Co 0.133 0.606 0.129

energy above the lowest structure with this stoichiometry: 73 meV/atom
mass density: 10.33 g cm⁻³
energy relative to the elements, uncorrected: -0.51 eV per atom
crystal system: orthorhombic
electronic total energy: -42.524 eV for the cell shown